Compound: B3TeAu
Source: Alexandria
Functional: PBE
Structure: relaxed

Properties
The space-group type is Pm-3m, No. 221. The value obtained for the uncorrected formation energy is 2.244 eV/atom. The energy above the most stable polymorph in this dataset is 650 meV/atom.

Lattice parameters (Å, degrees): 4.440 4.440 4.440 90.00 90.00 90.00
Fractional coordinates of all 5 atoms:
B (0.500, 0.000, 0.000)
B (0.000, 0.500, 0.000)
B (0.000, 0.000, 0.500)
Au (0.500, 0.500, 0.500)
Te (0.000, 0.000, 0.000)

***

Compound: SrLaMg2
Source: Alexandria
Functional: PBE
Structure: relaxed

Properties
The space-group type is P4/mmm, No. 123. For the formation energy, the calculation gives -0.075 eV per atom.

Lattice parameters (Å, degrees): 4.098 4.098 8.039 90.00 90.00 90.00
Fractional coordinates of all 4 atoms:
Mg (0.000, 0.000, 0.978)
Mg (0.000, 0.000, 0.522)
Sr (0.500, 0.500, 0.250)
La (0.500, 0.500, 0.750)